1.
SmZnSn2 PBE optimized geometry; relative energy among the computed polymorphs = 0.0000 eV/atom; energy of formation = -0.49 eV per atom; raw total energy = -0.1465 hartree per atom
1.0
4.412 0.000 0.000
0.000 4.412 0.000
0.000 0.000 9.960
Zn Sn Sm
2 4 2
Direct
0.000 0.000 0.000
0.500 0.500 0.000
0.500 0.000 0.180
0.000 0.000 0.500
0.000 0.500 0.820
0.500 0.500 0.500
0.000 0.500 0.248
0.500 0.000 0.752

=====

2.
Sm4Zn5Sn6 PBE optimized geometry; energy of formation = -0.47 eV per atom; raw total energy = -0.1379 hartree per atom
1.0
4.596 0.000 0.000
-2.298 9.797 0.000
0.000 0.000 16.504
Sn Zn Sm
12 10 8
Direct
0.432 0.865 0.855
0.568 0.135 0.355
0.561 0.123 0.629
0.778 0.556 0.259
0.221 0.442 0.488
0.222 0.444 0.759
0.894 0.788 0.614
0.106 0.212 0.114
0.431 0.861 0.413
0.779 0.558 0.988
0.439 0.877 0.129
0.569 0.139 0.913
0.573 0.146 0.193
0.350 0.700 0.277
0.650 0.300 0.777
0.145 0.289 0.625
0.427 0.854 0.693
0.349 0.697 0.986
0.303 0.607 0.623
0.651 0.303 0.486
0.697 0.393 0.123
0.855 0.711 0.125
0.176 0.352 0.943
0.031 0.061 0.760
0.028 0.057 0.494
0.824 0.648 0.443
0.972 0.943 0.994
0.828 0.657 0.797
0.172 0.343 0.297
0.969 0.939 0.260